A relaxed structure of SrZr2Tl. Source: Alexandria via LeMat-Bulk, functional PBE.

Properties
As for the calculated formation energy: 0.0752 eV per atom. The calculation puts the distance to the lowest polymorph of the same formula at 0.0243 eV per atom.

Lattice parameters (Å, degrees): 3.439 4.003 8.209 90.00 90.00 90.00
Fractional positions:
1 Sr 0.000 0.000 0.000
2 Zr 0.000 0.000 0.513
3 Zr 0.500 0.500 0.321
4 Tl 0.500 0.500 0.722

=====

A relaxed structure of ZrAlSi. Source: Alexandria via LeMat-Bulk, functional PBE.

Properties
Its formation energy without anion corrections is -0.01 eV per atom.

Lattice parameters (Å, degrees): 8.159 8.159 8.159 158.94 144.97 41.23
Fractional positions:
1 Zr 0.108 0.108 0.000
2 Zr 0.892 0.892 0.000
3 Al 0.409 0.409 0.000
4 Al 0.591 0.591 0.000
5 Si 0.260 0.760 0.500
6 Si 0.740 0.240 0.500

=====

A relaxed structure of LaNiN. Source: Alexandria via LeMat-Bulk, functional PBE.

Properties
Its formation energy without anion corrections is -0.58 eV per atom.

Lattice parameters (Å, degrees): 6.409 3.939 7.629 90.00 90.00 90.00
Fractional positions:
1 La 0.165 0.250 0.151
2 La 0.335 0.750 0.651
3 La 0.665 0.250 0.349
4 La 0.835 0.750 0.849
5 Ni 0.031 0.750 0.385
6 Ni 0.469 0.250 0.885
7 Ni 0.531 0.750 0.115
8 Ni 0.969 0.250 0.615
9 N 0.156 0.250 0.825
10 N 0.344 0.750 0.325
11 N 0.656 0.250 0.675
12 N 0.844 0.750 0.175

=====

A relaxed structure of Ba2LiBiAu. Source: Alexandria via LeMat-Bulk, functional PBE.

Properties
As for the calculated formation energy: -0.5317 eV per atom.

Lattice parameters (Å, degrees): 6.236 6.236 4.976 90.00 90.00 90.00
Fractional positions:
1 Ba 0.000 0.500 0.000
2 Ba 0.500 0.000 0.000
3 Li 0.000 0.000 0.500
4 Bi 0.500 0.500 0.500
5 Au 0.000 0.000 0.000